No. 1
VASP calculation (PBE) on a geometry-optimized Ca3Cd3In2 structure.

Summary:
Its formation energy is -2.570 eV/f.u. Its density of states at the Fermi level is 0.42 states/eV/atom.

Unit cell a=4.629 b=7.554 c=7.554 alpha=120.00 beta=90.00 gamma=90.00
Atoms (fractional coordinates):
In: 0.000 0.667 0.333
In: 0.000 0.333 0.667
Cd: 0.000 0.000 0.230
Cd: 0.000 0.230 0.000
Cd: 0.000 0.770 0.770
Ca: 0.500 0.613 0.000
Ca: 0.500 0.387 0.387
Ca: 0.500 0.000 0.613

=====

No. 2
VASP calculation (PBE) on a geometry-optimized HgIrN2 structure.

Summary:
The calculation puts the uncorrected formation energy at 31.36 kcal/mol of atoms. Its density of states at the Fermi level is 0.41 states/eV/atom.

Unit cell a=6.794 b=6.794 c=6.794 alpha=27.89 beta=27.89 gamma=27.89
Atoms (fractional coordinates):
Ir: 0.000 0.000 0.000
N: 0.093 0.093 0.093
N: 0.907 0.907 0.907
Hg: 0.500 0.500 0.500

=====

No. 3
VASP calculation (PBE) on a geometry-optimized Dy6ErTmTh2 structure.

Summary:
Its formation energy is 1.470 eV/f.u. Its density of states at the Fermi level is 1.43 states/eV/atom.

Unit cell a=10.065 b=8.570 c=8.570 alpha=117.45 beta=96.46 gamma=96.46
Atoms (fractional coordinates):
Dy: 0.448 0.262 0.886
Dy: 0.178 0.576 0.022
Dy: 0.678 0.022 0.576
Dy: 0.948 0.886 0.262
Dy: 0.617 0.493 0.693
Dy: 0.383 0.507 0.307
Dy: 0.552 0.738 0.114
Dy: 0.052 0.114 0.738
Dy: 0.117 0.693 0.493
Dy: 0.822 0.424 0.978
Dy: 0.883 0.307 0.507
Dy: 0.322 0.978 0.424
Tm: 0.750 0.597 0.403
Tm: 0.250 0.403 0.597
Th: 0.456 0.818 0.727
Th: 0.544 0.182 0.273
Th: 0.956 0.727 0.818
Th: 0.044 0.273 0.182
Er: 0.750 0.010 0.990
Er: 0.250 0.990 0.010

=====

No. 4
VASP calculation (PBE) on a geometry-optimized KS2ICl structure.

Summary:
The calculation puts the uncorrected formation energy at 14.60 kcal/mol of atoms. Its density of states at the Fermi level is 1.66 states/eV/atom.

Unit cell a=6.203 b=6.203 c=5.732 alpha=90.00 beta=90.00 gamma=90.00
Atoms (fractional coordinates):
Cl: 0.000 0.000 0.500
K: 0.000 0.000 0.000
S: 0.000 0.500 0.000
S: 0.500 0.000 0.000
I: 0.500 0.500 0.500

=====

No. 5
VASP calculation (PBE) on a geometry-optimized PRhCl4 structure.

Summary:
The calculation puts the uncorrected formation energy at 31.22 kcal/mol of atoms. Its density of states at the Fermi level is 1.87 states/eV/atom.

Unit cell a=5.668 b=5.668 c=5.668 alpha=60.00 beta=60.00 gamma=60.00
Atoms (fractional coordinates):
Rh: 0.000 0.000 0.000
Cl: 0.374 0.374 0.374
Cl: 0.877 0.374 0.374
Cl: 0.374 0.374 0.877
Cl: 0.374 0.877 0.374
P: 0.750 0.750 0.750

=====

No. 6
VASP calculation (PBE) on a geometry-optimized NaGeF5 structure.

Summary:
The calculation puts the uncorrected formation energy at -59.65 kcal/mol of atoms. Its density of states at the Fermi level is 0.00 states/eV/atom.

Unit cell a=5.520 b=5.520 c=7.634 alpha=69.83 beta=69.83 gamma=72.03
Atoms (fractional coordinates):
F: 0.052 0.948 0.750
F: 0.797 0.764 0.112
F: 0.236 0.203 0.388
F: 0.764 0.797 0.612
F: 0.948 0.052 0.250
F: 0.737 0.287 0.522
F: 0.287 0.737 0.022
F: 0.713 0.263 0.978
F: 0.263 0.713 0.478
F: 0.203 0.236 0.888
Ge: 0.000 0.000 0.000
Ge: 0.000 0.000 0.500
Na: 0.525 0.475 0.250
Na: 0.475 0.525 0.750

=====

No. 7
VASP calculation (PBE) on a geometry-optimized Th4SnBiTe2 structure.

Summary:
The calculation puts the uncorrected formation energy at -18.34 kcal/mol of atoms. Its density of states at the Fermi level is 0.85 states/eV/atom.

Unit cell a=4.570 b=7.908 c=7.703 alpha=110.07 beta=90.00 gamma=90.00
Atoms (fractional coordinates):
Sn: 0.500 0.500 0.000
Te: 0.500 0.000 0.500
Te: 0.000 0.500 0.500
Bi: 0.000 0.000 0.000
Th: 0.500 0.261 0.256
Th: 0.000 0.258 0.751
Th: 0.000 0.742 0.249
Th: 0.500 0.739 0.744

=====

No. 8
VASP calculation (PBE) on a geometry-optimized Sm12Os3N5 structure.

Summary:
The calculation puts the uncorrected formation energy at -15.24 kcal/mol of atoms. Its density of states at the Fermi level is 0.62 states/eV/atom.

Unit cell a=13.427 b=13.427 c=13.427 alpha=109.47 beta=109.47 gamma=109.47
Atoms (fractional coordinates):
N: 0.625 0.750 0.875
N: 0.750 0.125 0.875
N: 0.500 0.500 0.500
N: 0.500 0.500 0.000
N: 0.250 0.875 0.125
N: 0.250 0.375 0.625
N: 0.750 0.625 0.375
N: 0.625 0.875 0.250
N: 0.000 0.500 0.500
N: 0.875 0.250 0.625
N: 0.125 0.750 0.375
N: 0.875 0.625 0.750
N: 0.375 0.250 0.125
N: 0.000 0.000 0.500
N: 0.000 0.500 0.000
N: 0.125 0.375 0.250
N: 0.000 0.000 0.000
N: 0.500 0.000 0.000
N: 0.500 0.000 0.500
N: 0.375 0.125 0.750
Sm: 0.793 0.320 0.916
Sm: 0.096 0.916 0.122
Sm: 0.416 0.122 0.596
Sm: 0.904 0.084 0.878
Sm: 0.878 0.293 0.474
Sm: 0.404 0.026 0.320
Sm: 0.820 0.916 0.293
Sm: 0.026 0.404 0.820
Sm: 0.378 0.974 0.793
Sm: 0.707 0.122 0.026
Sm: 0.293 0.878 0.974
Sm: 0.680 0.207 0.584
Sm: 0.707 0.584 0.180
Sm: 0.904 0.820 0.526
Sm: 0.404 0.378 0.584
Sm: 0.526 0.207 0.122
Sm: 0.320 0.793 0.416
Sm: 0.293 0.416 0.820
Sm: 0.122 0.416 0.096
Sm: 0.526 0.320 0.904
Sm: 0.378 0.404 0.084
Sm: 0.180 0.084 0.707
Sm: 0.680 0.474 0.596
Sm: 0.084 0.180 0.207
Sm: 0.622 0.026 0.207
Sm: 0.793 0.474 0.378
Sm: 0.416 0.293 0.320
Sm: 0.584 0.878 0.404
Sm: 0.820 0.904 0.026
Sm: 0.974 0.596 0.180
Sm: 0.207 0.680 0.084
Sm: 0.320 0.526 0.404
Sm: 0.122 0.707 0.526
Sm: 0.474 0.793 0.878
Sm: 0.207 0.526 0.622
Sm: 0.180 0.096 0.974
Sm: 0.916 0.096 0.622
Sm: 0.916 0.820 0.793
Sm: 0.096 0.180 0.474
Sm: 0.596 0.974 0.680
Sm: 0.584 0.707 0.680
Sm: 0.474 0.680 0.096
Sm: 0.878 0.584 0.904
Sm: 0.622 0.596 0.916
Sm: 0.974 0.378 0.293
Sm: 0.084 0.904 0.378
Sm: 0.026 0.622 0.707
Sm: 0.596 0.622 0.416
Os: 0.250 0.625 0.875
Os: 0.125 0.250 0.875
Os: 0.250 0.125 0.375
Os: 0.875 0.125 0.250
Os: 0.625 0.375 0.750
Os: 0.625 0.250 0.375
Os: 0.125 0.875 0.750
Os: 0.750 0.875 0.625
Os: 0.375 0.750 0.625
Os: 0.875 0.750 0.125
Os: 0.375 0.625 0.250
Os: 0.750 0.375 0.125